KTlPb2 at its PBEsol-relaxed geometry, computed with SCAN.

Lattice parameters (Å, degrees): 4.8725 4.8725 10.2092 90.00 90.00 90.00
With the nearest neighbours (Å) after each atom.
Space group I4/mmm (No. 139)
Unique sites:
K 0.0000 0.0000 0.0000 [2 per cell]  4 Tl 3.45, 8 Pb 3.53
Tl 0.0000 0.0000 0.5000 [2 per cell]  4 K 3.45, 8 Pb 3.53
Pb 0.0000 0.5000 0.2500 [4 per cell]  4 Pb 3.45, 4 Tl 3.53, 4 K 3.53

Properties
Distance to the lowest polymorph of the same formula: 1.46 kcal/mol of atoms

KTl2Pb at its PBEsol-relaxed geometry, computed with SCAN.

Lattice parameters (Å, degrees): 10.7365 3.5165 6.5673 90.00 98.52 90.00
With the nearest neighbours (Å) after each atom.
Space group C2/m (No. 12)
Unique sites:
K 0.0000 0.0000 0.0000 [2 per cell]  6 Tl 3.39-3.52, 2 K 3.52, 4 Pb 3.72
Tl 0.2446 0.0000 0.7276 [4 per cell]  3 Pb 3.31-3.33, 3 K 3.39-3.52, 4 Tl 3.49-3.52
Pb 0.0000 0.5000 0.5000 [2 per cell]  6 Tl 3.31-3.33, 2 Pb 3.52

Properties
Calculated total energy: -57.36 eV/atom

Number 1: density of states at the Fermi level 4.31 states/eV/cell. Number 2: density of states at the Fermi level 3.72 states/eV/cell.